# 1
VASP calculation (GGA-PBE) on a relaxed structure of YZrS2O.

a = 3.7595 Å, b = 3.7595 Å, c = 13.2041 Å
α = 90.00°, β = 90.00°, γ = 90.00°
With the nearest neighbours (Å) after each atom.
Fractional coordinates of all 10 atoms:
Y 0.2500 0.2500 0.0898  4 O 2.22
Y 0.7500 0.7500 0.9102  4 O 2.22
Zr 0.2500 0.2500 0.6048  6 S 2.45-2.73
Zr 0.7500 0.7500 0.3952  6 S 2.45-2.73
S 0.2500 0.2500 0.3979  5 Zr 2.66-2.73
S 0.2500 0.2500 0.7901  1 Zr 2.45
S 0.7500 0.7500 0.2099  1 Zr 2.45
S 0.7500 0.7500 0.6021  5 Zr 2.66-2.73
O 0.2500 0.7500 0.0000  4 Y 2.22
O 0.7500 0.2500 0.0000  4 Y 2.22

Computed properties:
Its crystal system is tetragonal. As for the density of states at the Fermi level: 0.235 states/eV/atom. As for the space group: No. 129. For the energy relative to the elements, uncorrected, the calculation gives -2.26 eV per atom. The total energy comes out at -7.905 eV per atom.


# 2
VASP calculation (GGA-PBE) on a relaxed structure of BeC5.

a = 3.8782 Å, b = 3.8782 Å, c = 3.4974 Å
α = 90.00°, β = 90.00°, γ = 120.00°
With the nearest neighbours (Å) after each atom.
Fractional coordinates of all 6 atoms:
Be 0.0000 0.0000 0.0000  6 C 1.94
C 0.0000 0.7824 0.5000  2 C 1.46
C 0.2176 0.2176 0.5000  2 C 1.46
C 0.3333 0.6667 0.0000  3 Be 2.24, 9 C 2.24-2.35
C 0.6667 0.3333 0.0000  3 Be 2.24, 9 C 2.24-2.35
C 0.7824 0.0000 0.5000  2 C 1.46

Computed properties:
Its crystal system is hexagonal. As for the density of states at the Fermi level: 0.272 states/eV/atom. As for the space group: No. 189. The total energy comes out at -5.297 eV per atom. For the formation energy, the calculation gives 3.011 eV per atom. Its offset from the most stable computed form is 54.64 kcal/mol of atoms.


# 3
VASP calculation (GGA-PBE) on a relaxed structure of Sm6CdHg8.

a = 7.8635 Å, b = 7.8635 Å, c = 7.8635 Å
α = 70.85°, β = 70.85°, γ = 70.85°
With the nearest neighbours (Å) after each atom.
Fractional coordinates of all 15 atoms:
Sm 0.1543 0.4156 0.6593  7 Hg 3.10-3.45
Sm 0.3407 0.8457 0.5844  7 Hg 3.10-3.45
Sm 0.4156 0.6593 0.1543  7 Hg 3.10-3.45
Sm 0.5844 0.3407 0.8457  7 Hg 3.10-3.45
Sm 0.6593 0.1543 0.4156  7 Hg 3.10-3.45
Sm 0.8457 0.5844 0.3407  7 Hg 3.10-3.45
Cd 0.0000 0.0000 0.0000  6 Hg 3.11
Hg 0.0468 0.8415 0.4041  2 Hg 3.08-3.09, 5 Sm 3.10-3.29, 1 Cd 3.11
Hg 0.1585 0.5959 0.9532  2 Hg 3.08-3.09, 5 Sm 3.10-3.29, 1 Cd 3.11
Hg 0.2768 0.2768 0.2768  3 Hg 3.08, 3 Sm 3.28
Hg 0.4041 0.0468 0.8415  2 Hg 3.08-3.09, 5 Sm 3.10-3.29, 1 Cd 3.11
Hg 0.5959 0.9532 0.1585  2 Hg 3.08-3.09, 5 Sm 3.10-3.29, 1 Cd 3.11
Hg 0.7232 0.7232 0.7232  3 Hg 3.08, 3 Sm 3.28
Hg 0.8415 0.4041 0.0468  2 Hg 3.08-3.09, 5 Sm 3.10-3.29, 1 Cd 3.11
Hg 0.9532 0.1585 0.5959  2 Hg 3.08-3.09, 5 Sm 3.10-3.29, 1 Cd 3.11

Computed properties:
Its crystal system is trigonal. As for the density of states at the Fermi level: 0.991 states/eV/atom. As for the space group: No. 148. The total energy comes out at -2.430 eV per atom. For the formation energy, the calculation gives -0.321 eV per atom.


# 4
VASP calculation (GGA-PBE) on a relaxed structure of LaPm5Th2.

a = 9.0361 Å, b = 9.0361 Å, c = 9.0361 Å
α = 157.11°, β = 101.55°, γ = 83.03°
With the nearest neighbours (Å) after each atom.
Fractional coordinates of all 8 atoms:
La 0.0000 0.0000 0.0000  2 La 3.59, 4 Th 3.70, 8 Pm 3.99
Pm 0.1381 0.3683 0.7698  3 Th 3.41-3.63, 7 Pm 3.56-3.70
Pm 0.4015 0.6317 0.7698  3 Th 3.41-3.63, 7 Pm 3.56-3.70
Pm 0.5000 0.0000 0.5000  2 Th 3.53, 10 Pm 3.59-3.65
Pm 0.5985 0.3683 0.2302  3 Th 3.41-3.63, 7 Pm 3.56-3.70
Pm 0.8619 0.6317 0.2302  3 Th 3.41-3.63, 7 Pm 3.56-3.70
Th 0.2390 0.7390 0.5000  7 Pm 3.41-3.63, 2 Th 3.59, 2 La 3.70
Th 0.7610 0.2610 0.5000  7 Pm 3.41-3.63, 2 Th 3.59, 2 La 3.70

Computed properties:
Its crystal system is orthorhombic. As for the density of states at the Fermi level: 1.527 states/eV/atom. As for the space group: No. 71. The total energy comes out at -5.341 eV per atom. For the formation energy, the calculation gives 0.099 eV per atom.


# 5
VASP calculation (GGA-PBE) on a relaxed structure of La2TbPr.

a = 3.7113 Å, b = 3.7113 Å, c = 10.3114 Å
α = 90.00°, β = 90.00°, γ = 90.00°
With the nearest neighbours (Å) after each atom.
Fractional coordinates of all 4 atoms:
La 0.0000 0.0000 0.2451  4 Tb 3.64, 4 La 3.71, 4 Pr 3.71
La 0.0000 0.0000 0.7549  4 Tb 3.64, 4 La 3.71, 4 Pr 3.71
Tb 0.5000 0.5000 0.0000  8 La 3.64, 4 Tb 3.71
Pr 0.5000 0.5000 0.5000  4 Pr 3.71, 8 La 3.71

Computed properties:
Its crystal system is tetragonal. As for the density of states at the Fermi level: 1.782 states/eV/atom. As for the space group: No. 123. The total energy comes out at -4.797 eV per atom. For the formation energy, the calculation gives 0.019 eV per atom. Its offset from the most stable computed form is 0.18 kcal/mol of atoms.


# 6
VASP calculation (GGA-PBE) on a relaxed structure of BaSc2Si.

a = 3.6929 Å, b = 4.5595 Å, c = 6.7857 Å
α = 90.00°, β = 104.47°, γ = 90.00°
With the nearest neighbours (Å) after each atom.
Fractional coordinates of all 4 atoms:
Ba 0.0000 0.0000 0.0000  2 Si 3.43, 8 Sc 3.54-3.64, 2 Ba 3.69
Sc 0.3296 0.5000 0.6849  2 Si 2.75, 2 Sc 3.03-3.08
Sc 0.6704 0.5000 0.3151  2 Si 2.75, 2 Sc 3.03-3.08
Si 0.5000 0.0000 0.5000  4 Sc 2.75

Computed properties:
Its crystal system is monoclinic. As for the density of states at the Fermi level: 1.474 states/eV/atom. As for the space group: No. 10. For the energy relative to the elements, uncorrected, the calculation gives 0.03 eV per atom. The total energy comes out at -4.974 eV per atom.


# 7
VASP calculation (GGA-PBE) on a relaxed structure of YHg3O.

a = 4.8769 Å, b = 4.8769 Å, c = 4.8769 Å
α = 90.00°, β = 90.00°, γ = 90.00°
With the nearest neighbours (Å) after each atom.
Fractional coordinates of all 5 atoms:
Y 0.0000 0.0000 0.0000  12 Hg 3.45
Hg 0.0000 0.5000 0.5000  2 O 2.44
Hg 0.5000 0.0000 0.5000  2 O 2.44
Hg 0.5000 0.5000 0.0000  2 O 2.44
O 0.5000 0.5000 0.5000  6 Hg 2.44

Computed properties:
Its crystal system is cubic. As for the density of states at the Fermi level: 1.201 states/eV/atom. As for the space group: No. 221. For the energy relative to the elements, uncorrected, the calculation gives 0.09 eV per atom. The total energy comes out at -2.373 eV per atom. Its offset from the most stable computed form is 0.00 kcal/mol of atoms.


# 8
VASP calculation (GGA-PBE) on a relaxed structure of Ca2PSe4.

a = 6.6887 Å, b = 6.7903 Å, c = 8.0418 Å
α = 90.00°, β = 106.79°, γ = 90.00°
With the nearest neighbours (Å) after each atom.
Fractional coordinates of all 14 atoms:
Ca 0.2274 0.2500 0.0499  6 Se 2.97-3.07
Ca 0.2650 0.2500 0.5711  1 P 3.07, 6 Se 3.07-3.17
Ca 0.7350 0.7500 0.4289  1 P 3.07, 6 Se 3.07-3.17
Ca 0.7726 0.7500 0.9501  6 Se 2.97-3.07
P 0.2562 0.7500 0.3128  4 Se 2.28-2.48
P 0.7438 0.2500 0.6872  4 Se 2.28-2.48
Se 0.0179 0.5014 0.2619  1 P 2.28
Se 0.0179 0.9986 0.2619  1 P 2.28
Se 0.3876 0.7500 0.0638  1 P 2.41
Se 0.4058 0.7500 0.6338  1 P 2.48
Se 0.5942 0.2500 0.3662  1 P 2.48
Se 0.6124 0.2500 0.9362  1 P 2.41
Se 0.9821 0.0014 0.7381  1 P 2.28
Se 0.9821 0.4986 0.7381  1 P 2.28

Computed properties:
Its crystal system is monoclinic. As for the density of states at the Fermi level: 0.312 states/eV/atom. As for the space group: No. 11. For the energy relative to the elements, uncorrected, the calculation gives -1.02 eV per atom. The total energy comes out at -4.355 eV per atom.